1.
## NaLi2HoF6 (PBE-GGA)

Data for NaLi2HoF6 after structural relaxation.

N(E_F) (states/eV/cell): 0.0
ΔE_f (raw) (meV per atom): -3361
Crystal system: trigonal

Unit cell a=5.4494 b=5.4494 c=14.4501 alpha=90.00 beta=90.00 gamma=120.00
Space group R3 (No. 146, hexagonal axes)
One atom of each set of equivalent atoms:
1 Na 0.0000 0.0000 0.0000
2 Li 0.0000 0.0000 0.2839
3 Li 0.0000 0.0000 0.7837
4 Ho 0.0000 0.0000 0.4964
5 F 0.0069 0.3716 0.5527
6 F 0.0193 0.6178 0.0577



2.
## NaLiHo2F8 (PBE-GGA)

Data for NaLiHo2F8 after structural relaxation.

N(E_F) (states/eV/cell): 0.0
ΔE_f (raw) (meV per atom): -3747
E above lowest polymorph (meV/atom): 0
Crystal system: orthorhombic

Unit cell a=10.5160 b=8.3338 c=7.0814 alpha=90.00 beta=90.00 gamma=90.00
Space group Cmcm (No. 63)
One atom of each set of equivalent atoms:
1 Na 0.0000 0.1589 0.2500
2 Li 0.0000 0.5000 0.0000
3 Ho 0.1871 0.2363 0.7500
4 F 0.0000 0.1090 0.7500
5 F 0.0000 0.4124 0.7500
6 F 0.1377 0.2977 0.0501
7 F 0.2199 0.0267 0.2500



3.
## NaLiHo2F8 (PBE-GGA)

Data for NaLiHo2F8 after structural relaxation.

N(E_F) (states/eV/cell): 0.0
ΔE_f (raw) (meV per atom): -3710
E above lowest polymorph (meV/atom): 37
Crystal system: triclinic

Unit cell a=3.8052 b=5.4414 c=7.5478 alpha=84.77 beta=89.94 gamma=89.42
Space group P-1 (No. 2)
One atom of each set of equivalent atoms:
1 Na 0.0000 0.0000 0.0000
2 Li 0.0000 0.0000 0.5000
3 Ho 0.4996 0.4712 0.2540
4 F 0.0035 0.3157 0.7640
5 F 0.0042 0.2162 0.2769
6 F 0.4932 0.7396 0.4761
7 F 0.4975 0.7336 0.9896